Record 1
K2RbZnF6 | PBE-GGA | relaxed

Properties
formation energy without anion corrections	-2.40	eV per atom

The structure in CIF format:
```
data_K2RbZnF6
_symmetry_space_group_name_H-M 'P 1 21/c 1'
_symmetry_Int_Tables_number 14
_cell_length_a 6.239
_cell_length_b 6.559
_cell_length_c 10.837
_cell_angle_alpha 90.00
_cell_angle_beta 124.86
_cell_angle_gamma 90.00
loop_
_symmetry_equiv_pos_as_xyz
'x,y,z'
'-x,-y,-z'
'-x,y+1/2,-z+1/2'
'x,-y+1/2,z+1/2'
loop_
_atom_site_label
_atom_site_fract_x
_atom_site_fract_y
_atom_site_fract_z
K1 0.227 0.052 0.244
Rb1 0.000 0.000 0.500
Zn1 0.500 0.000 0.000
F1 0.199 0.166 0.957
F2 0.268 0.748 0.423
F3 0.406 0.062 0.795
```

***

Record 2
KRbZrF6 | PBE-GGA | relaxed

Properties
formation energy without anion corrections	-3.38	eV per atom

The structure in CIF format:
```
data_KRbZrF6
_symmetry_space_group_name_H-M 'P -3 1 c'
_symmetry_Int_Tables_number 163
_symmetry_space_group_name_Hall '-P 3 2c'
_cell_length_a 6.5684
_cell_length_b 6.5684
_cell_length_c 10.1322
_cell_angle_alpha 90.00
_cell_angle_beta 90.00
_cell_angle_gamma 120.00
loop_
_atom_site_label
_atom_site_fract_x
_atom_site_fract_y
_atom_site_fract_z
K1 0.3333 0.6667 0.2500
Rb1 0.0000 0.0000 0.0000
Zr1 0.3333 0.6667 0.7500
F1 0.0715 0.4081 0.6388
```

***

Record 3
K2ReF | PBE-GGA | relaxed

Properties
formation energy without anion corrections	0.28	eV per atom
distance to the lowest polymorph of the same formula	0	meV per atom

The structure in CIF format:
```
data_K2ReF
_symmetry_space_group_name_H-M 'I -4 2 d'
_symmetry_Int_Tables_number 122
_symmetry_space_group_name_Hall 'I -4 2bw'
_cell_length_a 7.728
_cell_length_b 7.728
_cell_length_c 8.760
_cell_angle_alpha 90.00
_cell_angle_beta 90.00
_cell_angle_gamma 90.00
loop_
_atom_site_label
_atom_site_fract_x
_atom_site_fract_y
_atom_site_fract_z
K1 0.151 0.250 0.125
Re1 0.000 0.000 0.500
F1 0.000 0.000 0.000
```

***

Record 4
KReF2 | PBE-GGA | relaxed

Properties
formation energy without anion corrections	-0.36	eV per atom
distance to the lowest polymorph of the same formula	948	meV per atom

The structure in CIF format:
```
data_KReF2
_symmetry_space_group_name_H-M 'R -3 m'
_symmetry_Int_Tables_number 166
_symmetry_space_group_name_Hall '-R 3 2"'
_cell_length_a 3.6880
_cell_length_b 3.6880
_cell_length_c 18.6512
_cell_angle_alpha 90.00
_cell_angle_beta 90.00
_cell_angle_gamma 120.00
loop_
_atom_site_label
_atom_site_fract_x
_atom_site_fract_y
_atom_site_fract_z
K1 0.0000 0.0000 0.0000
Re1 0.0000 0.0000 0.5000
F1 0.0000 0.0000 0.1336
```

***

Record 5
KReF2 | PBE-GGA | relaxed

Properties
formation energy without anion corrections	-1.31	eV per atom
distance to the lowest polymorph of the same formula	0	meV per atom

The structure in CIF format:
```
data_KReF2
_symmetry_space_group_name_H-M 'R -3 m'
_symmetry_Int_Tables_number 166
_symmetry_space_group_name_Hall '-R 3 2"'
_cell_length_a 2.9023
_cell_length_b 2.9023
_cell_length_c 23.1802
_cell_angle_alpha 90.00
_cell_angle_beta 90.00
_cell_angle_gamma 120.00
loop_
_atom_site_label
_atom_site_fract_x
_atom_site_fract_y
_atom_site_fract_z
K1 0.0000 0.0000 0.0000
Re1 0.0000 0.0000 0.5000
F1 0.0000 0.0000 0.4117
```

***

Record 6
KRe3F | PBE-GGA | relaxed

Properties
formation energy without anion corrections	4.16	eV per atom
distance to the lowest polymorph of the same formula	2008	meV per atom

The structure in CIF format:
```
data_KRe3F
_symmetry_space_group_name_H-M 'P m -3 m'
_symmetry_Int_Tables_number 221
_symmetry_space_group_name_Hall '-P 4 2 3'
_cell_length_a 4.577
_cell_length_b 4.577
_cell_length_c 4.577
_cell_angle_alpha 90.00
_cell_angle_beta 90.00
_cell_angle_gamma 90.00
loop_
_atom_site_label
_atom_site_fract_x
_atom_site_fract_y
_atom_site_fract_z
K1 0.000 0.000 0.000
Re1 0.000 0.000 0.500
F1 0.500 0.500 0.500
```

***

no.,density of states at the Fermi level (states/eV/cell),uncorrected energy (eV per atom)
1,11.6,-3.963
2,0.0,-5.811
3,12.9,-3.852
4,20.9,-4.684
5,4.7,-5.632
6,9.8,-3.899